1.
A relaxed structure of HfCoBOs, computed with PBE.

Mass density (g/cm³): 14.0

The structure in CIF format:
```
data_HfCoBOs
_cell_length_a 5.926
_cell_length_b 5.926
_cell_length_c 5.926
_cell_angle_alpha 90.00
_cell_angle_beta 90.00
_cell_angle_gamma 90.00
_symmetry_space_group_name_H-M 'F -4 3 m'
_symmetry_Int_Tables_number 216
_symmetry_space_group_name_Hall 'F -4 2 3'
loop_
_atom_site_label
_atom_site_type_symbol
_atom_site_fract_x
_atom_site_fract_y
_atom_site_fract_z
_atom_site_occupancy
Hf1 Hf 0.000 0.000 0.000 1
Co1 Co 0.250 0.250 0.750 1
B1 B 0.000 0.000 0.500 1
Os1 Os 0.250 0.250 0.250 1
```

---

2.
A relaxed structure of HfCoReB, computed with PBE.

Mass density (g/cm³): 13.0

The structure in CIF format:
```
data_HfCoReB
_cell_length_a 6.050
_cell_length_b 6.050
_cell_length_c 6.050
_cell_angle_alpha 90.00
_cell_angle_beta 90.00
_cell_angle_gamma 90.00
_symmetry_space_group_name_H-M 'F -4 3 m'
_symmetry_Int_Tables_number 216
_symmetry_space_group_name_Hall 'F -4 2 3'
loop_
_atom_site_label
_atom_site_type_symbol
_atom_site_fract_x
_atom_site_fract_y
_atom_site_fract_z
_atom_site_occupancy
Hf1 Hf 0.000 0.000 0.000 1
Co1 Co 0.000 0.000 0.500 1
Re1 Re 0.250 0.250 0.750 1
B1 B 0.250 0.250 0.250 1
```

---

3.
A relaxed structure of HfCoReB, computed with PBE.

Mass density (g/cm³): 13.6

The structure in CIF format:
```
data_HfCoReB
_cell_length_a 5.957
_cell_length_b 5.957
_cell_length_c 5.957
_cell_angle_alpha 90.00
_cell_angle_beta 90.00
_cell_angle_gamma 90.00
_symmetry_space_group_name_H-M 'F -4 3 m'
_symmetry_Int_Tables_number 216
_symmetry_space_group_name_Hall 'F -4 2 3'
loop_
_atom_site_label
_atom_site_type_symbol
_atom_site_fract_x
_atom_site_fract_y
_atom_site_fract_z
_atom_site_occupancy
Hf1 Hf 0.000 0.000 0.000 1
Co1 Co 0.250 0.250 0.750 1
Re1 Re 0.250 0.250 0.250 1
B1 B 0.000 0.000 0.500 1
```

---

4.
A relaxed structure of HfScCoB, computed with PBE.

Mass density (g/cm³): 8.9

The structure in CIF format:
```
data_HfScCoB
_cell_length_a 6.032
_cell_length_b 6.032
_cell_length_c 6.032
_cell_angle_alpha 90.00
_cell_angle_beta 90.00
_cell_angle_gamma 90.00
_symmetry_space_group_name_H-M 'F -4 3 m'
_symmetry_Int_Tables_number 216
_symmetry_space_group_name_Hall 'F -4 2 3'
loop_
_atom_site_label
_atom_site_type_symbol
_atom_site_fract_x
_atom_site_fract_y
_atom_site_fract_z
_atom_site_occupancy
Hf1 Hf 0.000 0.000 0.000 1
Sc1 Sc 0.250 0.250 0.250 1
Co1 Co 0.250 0.250 0.750 1
B1 B 0.000 0.000 0.500 1
```

---

5.
A relaxed structure of HfCo2SiB, computed with PBE.

Mass density (g/cm³): 9.5

The structure in CIF format:
```
data_HfCo2SiB
_cell_length_a 3.607
_cell_length_b 3.607
_cell_length_c 9.007
_cell_angle_alpha 90.00
_cell_angle_beta 90.00
_cell_angle_gamma 90.00
_symmetry_space_group_name_H-M 'I 4 m m'
_symmetry_Int_Tables_number 107
_symmetry_space_group_name_Hall 'I 4 -2'
loop_
_atom_site_label
_atom_site_type_symbol
_atom_site_fract_x
_atom_site_fract_y
_atom_site_fract_z
_atom_site_occupancy
Hf1 Hf 0.000 0.000 0.000 1
Co1 Co 0.000 0.500 0.231 1
Si1 Si 0.000 0.000 0.379 1
B1 B 0.000 0.000 0.615 1
```

---

6.
A relaxed structure of HfTaCoB, computed with PBE.

Mass density (g/cm³): 12.6

The structure in CIF format:
```
data_HfTaCoB
_cell_length_a 6.088
_cell_length_b 6.088
_cell_length_c 6.088
_cell_angle_alpha 90.00
_cell_angle_beta 90.00
_cell_angle_gamma 90.00
_symmetry_space_group_name_H-M 'F -4 3 m'
_symmetry_Int_Tables_number 216
_symmetry_space_group_name_Hall 'F -4 2 3'
loop_
_atom_site_label
_atom_site_type_symbol
_atom_site_fract_x
_atom_site_fract_y
_atom_site_fract_z
_atom_site_occupancy
Hf1 Hf 0.000 0.000 0.000 1
Ta1 Ta 0.250 0.250 0.250 1
Co1 Co 0.250 0.250 0.750 1
B1 B 0.000 0.000 0.500 1
```

---

For reference, calculated volume by record: 208, 221, 211, 219, 117, 226 Å³ per cell.
For reference, E_tot by record: -8.5653, -8.3697, -8.5968, -7.1831, -7.9467, -8.2111 eV per atom.
For reference, total moment by record: 0.000, 0.665, 0.141, 0.216, 0.001, 0.559 μB/atom.